## ScGaFe2 (PBE-GGA)

Data for an optimized crystal structure of ScGaFe2.

Mass density (g/cm3): 5.9
Energy of formation (eV per atom): 0.2520
Total magnetization (μB per cell): 16.1
V (Å³/atom): 16.0

Unit cell a=6.9416 b=6.9416 c=5.3225 alpha=90.00 beta=90.00 gamma=90.00
Last column: nearest neighbours and their distance in Å.
Space group I-42d (No. 122)
One atom of each set of equivalent atoms:
1 Sc 0.0000 0.0000 0.0000 x4  2 Ga 2.66, 4 Fe 2.67
2 Ga 0.0000 0.0000 0.5000 x4  4 Fe 2.43, 2 Sc 2.66
3 Fe 0.2246 0.7500 0.6250 x8  2 Ga 2.43, 2 Sc 2.67, 2 Fe 2.68